DFT (PBE-GGA) results for a relaxed AcSiRh crystal.

Output
The crystal system is hexagonal. As for the total energy: -19.38 eV per formula unit. Its magnetic moment is 0.00 μB per cell. The value obtained for the energy relative to the elements, uncorrected is -0.832 eV per atom. As for the density of states at the Fermi level: 0.9933 states/eV/atom.

Cell and atoms, written as extended XYZ:
```
3
Lattice="4.215 0.000 0.000 -2.108 3.651 0.000 0.000 0.000 4.579" Properties=species:S:1:pos:R:3 pbc="T T T"
Ac 0.000 0.000 0.000
Si 0.000 2.434 2.290
Rh 2.108 1.217 2.290
```